First-principles (GGA-PBE) data for an optimized crystal structure of CaRu2O, as listed in Alexandria via LeMat-Bulk.

As for the space group: I-42d. The value obtained for the uncorrected energy is -6.47 eV/atom. Its density of states at the Fermi level is 6.57 states/eV per cell.

Unit cell a=6.9334 b=6.9334 c=5.6347 alpha=90.00 beta=90.00 gamma=90.00
Element x y z (fractional)
Ca 0.0000 0.0000 0.0000
Ca 0.0000 0.5000 0.2500
Ca 0.5000 0.0000 0.7500
Ca 0.5000 0.5000 0.5000
Ru 0.0910 0.7500 0.6250
Ru 0.2500 0.0910 0.3750
Ru 0.2500 0.4090 0.8750
Ru 0.4090 0.7500 0.1250
Ru 0.5910 0.2500 0.1250
Ru 0.7500 0.5910 0.8750
Ru 0.7500 0.9090 0.3750
Ru 0.9090 0.2500 0.6250
O 0.0000 0.0000 0.5000
O 0.0000 0.5000 0.7500
O 0.5000 0.0000 0.2500
O 0.5000 0.5000 0.0000